Compound: SrCrN2O
Source: Alexandria
Functional: PBE with a Hubbard U
Structure: relaxed

V: 11.53 Å³ per atom
Total magnetization: 0.0 μB per formula unit
Total DFT energy (no corrections): -6.62 eV per atom

The structure in POSCAR format:
```
SrCrN2O
1.0
3.7385 0.0000 0.0000
0.0000 3.7385 0.0000
0.0000 0.0000 4.1231
Sr Cr N O
1 1 2 1
Direct
0.0000 0.0000 0.0000
0.5000 0.5000 0.5000
0.0000 0.5000 0.5000
0.5000 0.0000 0.5000
0.5000 0.5000 0.0000
```